Below is NdYTl2Zn2 after structural relaxation, with properties calculated at the PBE-GGA level.

Cell: 4.726 4.726 7.483 Å, 90.00 90.00 120.00°
Element x y z (fractional)
Zn 0.333 0.667 0.052
Zn 0.667 0.333 0.540
Tl 0.667 0.333 0.132
Nd 0.000 0.000 0.847
Tl 0.333 0.667 0.618
Y 0.000 0.000 0.347

Output
The total DFT energy (no corrections) comes out at -3.45 eV per atom.

=====

Below is ScBeZn2 after structural relaxation, with properties calculated at the PBE-GGA level.

Cell: 4.336 4.336 4.336 Å, 60.00 60.00 60.00°
Element x y z (fractional)
Be 0.250 0.250 0.250
Zn 0.000 0.000 0.000
Zn 0.750 0.750 0.750
Sc 0.500 0.500 0.500

Output
The total DFT energy (no corrections) comes out at -3.29 eV per atom.

=====

Below is ScNi2B after structural relaxation, with properties calculated at the PBE-GGA level.

Cell: 4.064 4.064 4.064 Å, 60.00 60.00 60.00°
Element x y z (fractional)
Sc 0.250 0.250 0.250
Ni 0.750 0.750 0.750
Ni 0.500 0.500 0.500
B 0.000 0.000 0.000

Output
The total DFT energy (no corrections) comes out at -6.04 eV per atom.

=====

Below is ZrFeSnAu after structural relaxation, with properties calculated at the PBE-GGA level.

Cell: 4.665 4.665 4.665 Å, 60.00 60.00 60.00°
Element x y z (fractional)
Zr 0.250 0.250 0.250
Fe 0.750 0.750 0.750
Au 0.500 0.500 0.500
Sn 0.000 0.000 0.000

Output
The total DFT energy (no corrections) comes out at -6.12 eV per atom.

=====

Number 1 is which compound?
NdYTl2Zn2